The following is a PBE-GGA calculation of a relaxed structure of In2TcPb, from Alexandria.

abc: 6.8600 5.4066 3.2736
angles: 89.69 62.05 119.50
Fractional positions:
In1 0.0000 0.0000 0.0000
In2 0.5000 0.0000 0.5000
Pb1 0.0000 0.5000 0.5000
Tc1 0.5000 0.5000 0.0000

Output
The space-group type is C2/m (12). The calculation puts the total DFT energy (no corrections) at -4.330 eV per atom. The spin magnetization is 1.525 μB per cell.